The following is a PBE-GGA calculation of crystalline CaNdHg14 at its relaxed geometry, from Alexandria via LeMat-Bulk.

## Properties
E_form   -0.186 eV per atom

Unit cell a=6.7585 b=6.7585 c=8.9831 alpha=90.00 beta=90.00 gamma=89.99
Closest atoms and distances in Å follow each position.
Element x y z (fractional)
1 Hg 0.3750 0.8750 0.0000  12 Hg 3.25-3.38
2 Hg 0.6238 0.6238 0.2452  10 Hg 3.24-3.40, 1 Ca 3.30, 1 Nd 3.32
3 Hg 0.1262 0.1262 0.2452  10 Hg 3.24-3.40, 1 Ca 3.30, 1 Nd 3.32
4 Hg 0.1263 0.6237 0.7549  10 Hg 3.24-3.40, 1 Ca 3.30, 1 Nd 3.32
5 Nd 0.8750 0.8750 0.5000  12 Hg 3.32-3.38
6 Hg 0.6237 0.1263 0.2451  10 Hg 3.24-3.40, 1 Ca 3.30, 1 Nd 3.32
7 Hg 0.8750 0.3750 0.5000  8 Hg 3.31, 2 Nd 3.38, 2 Ca 3.38
8 Hg 0.6237 0.1263 0.7549  10 Hg 3.24-3.40, 1 Ca 3.30, 1 Nd 3.32
9 Hg 0.6238 0.6238 0.7548  10 Hg 3.24-3.40, 1 Ca 3.30, 1 Nd 3.32
10 Hg 0.1262 0.1262 0.7548  10 Hg 3.24-3.40, 1 Ca 3.30, 1 Nd 3.32
11 Hg 0.8750 0.8750 0.0000  12 Hg 3.26-3.38
12 Hg 0.8750 0.3750 0.0000  12 Hg 3.25-3.38
13 Hg 0.3750 0.8750 0.5000  8 Hg 3.31, 2 Nd 3.38, 2 Ca 3.38
14 Hg 0.3750 0.3750 0.0000  12 Hg 3.24-3.38
15 Hg 0.1263 0.6237 0.2451  10 Hg 3.24-3.40, 1 Ca 3.30, 1 Nd 3.32
16 Ca 0.3750 0.3750 0.5000  12 Hg 3.30-3.38